ZrIrW2 (GGA-PBEsol, optimized geometry); formation enthalpy at 0 K = 0.1135 eV/atom; D(E_F) = 1.0290 states/eV/atom; M_tot = 0.0 μB per formula unit; VASP energy = -46.07 eV per cell; offset from the most stable computed form = 0.1871 eV/atom
1.0
4.3678 0.0000 0.0000
0.0000 4.3678 0.0000
0.0000 0.0000 3.4144
Zr Ir W
1 1 2
direct
0.0000 0.0000 0.0000
0.5000 0.5000 0.0000
0.0000 0.5000 0.5000
0.5000 0.0000 0.5000